# 1
Computed, not measured: crystalline BiPt2O at its relaxed geometry at the PBE level of DFT.

## Properties
* energy above the lowest structure with this stoichiometry: 0.0 meV/atom
* magnetization: 0.00 Bohr magnetons per cell
* formation energy (no corrections): -0.01 eV per atom
* DOS(E_F): 2.37 states/eV/f.u.
* symmetry: No. 122

```
BiPt2O
1.0
5.038 0.000 0.000
0.000 5.038 0.000
2.519 2.519 6.346
Pt O Bi
4 2 2
Direct
0.283 0.625 0.250 Pt
0.467 0.125 0.250 Pt
0.875 0.717 0.750 Pt
0.375 0.533 0.750 Pt
0.500 0.500 0.000 O
0.250 0.750 0.500 O
0.000 0.000 0.000 Bi
0.750 0.250 0.500 Bi
```



# 2
Computed, not measured: crystalline Ti3VRe4 at its relaxed geometry at the PBE level of DFT.

## Properties
* total DFT energy (no corrections): -10.721 eV/atom
* magnetization: 0.00 Bohr magnetons per cell
* DOS(E_F): 5.37 states/eV/f.u.
* symmetry: No. 123

```
Ti3VRe4
1.0
-2.842 0.545 -1.095
-0.481 -3.044 -0.268
-4.520 -0.306 11.580
Re Ti V
4 3 1
Direct
0.000 0.000 0.373 Re
0.000 0.000 0.627 Re
0.000 0.000 0.881 Re
0.000 0.000 0.119 Re
0.500 0.500 0.248 Ti
0.500 0.500 0.752 Ti
0.500 0.500 0.500 Ti
0.500 0.500 0.000 V
```



# 3
Computed, not measured: crystalline LaTc2I at its relaxed geometry at the PBE level of DFT.

## Properties
* energy above the lowest structure with this stoichiometry: 0.0 meV/atom
* magnetization: 0.00 Bohr magnetons per cell
* formation energy (no corrections): 0.60 eV per atom
* DOS(E_F): 5.43 states/eV/f.u.
* symmetry: No. 122

```
LaTc2I
1.0
4.322 0.000 0.000
0.000 4.322 0.000
2.161 2.161 10.259
I La Tc
2 2 4
Direct
0.500 0.500 0.000 I
0.250 0.750 0.500 I
0.750 0.250 0.500 La
0.000 0.000 0.000 La
0.875 0.770 0.750 Tc
0.230 0.625 0.250 Tc
0.520 0.125 0.250 Tc
0.375 0.480 0.750 Tc
```



# 4
Computed, not measured: crystalline AlHgW2 at its relaxed geometry at the PBE level of DFT.

## Properties
* energy above the lowest structure with this stoichiometry: 143.9 meV/atom
* magnetization: 0.00 Bohr magnetons per cell
* DOS(E_F): 4.68 states/eV/f.u.
* symmetry: No. 166

```
AlHgW2
1.0
9.561 -0.014 -0.008
9.128 2.845 -0.008
9.128 1.383 2.486
Hg W Al
1 2 1
Direct
0.750 0.750 0.750 Hg
0.504 0.504 0.504 W
0.996 0.996 0.996 W
0.250 0.250 0.250 Al
```



# 5
Computed, not measured: crystalline RbHo2Te4Au at its relaxed geometry at the PBE level of DFT.

## Properties
* magnetization: 0.00 Bohr magnetons per cell
* formation energy (no corrections): -1.10 eV per atom
* symmetry: No. 63

```
RbHo2Te4Au
1.0
4.432 0.000 0.000
-2.216 7.668 0.000
0.000 0.000 15.752
Te Au Ho Rb
8 2 4 2
Direct
0.000 0.000 0.500 Te
0.261 0.523 0.103 Te
0.000 0.000 0.000 Te
0.550 0.100 0.250 Te
0.261 0.523 0.397 Te
0.450 0.900 0.750 Te
0.739 0.477 0.603 Te
0.739 0.477 0.897 Te
0.158 0.316 0.250 Au
0.842 0.684 0.750 Au
0.629 0.257 0.072 Ho
0.629 0.257 0.428 Ho
0.371 0.743 0.928 Ho
0.371 0.743 0.572 Ho
0.129 0.258 0.750 Rb
0.871 0.742 0.250 Rb
```



# 6
Computed, not measured: crystalline TcRuNF2 at its relaxed geometry at the PBE level of DFT.

## Properties
* energy above the lowest structure with this stoichiometry: 0.0 meV/atom
* magnetization: 3.01 Bohr magnetons per cell
* formation energy (no corrections): 0.16 eV per atom
* DOS(E_F): 5.30 states/eV/f.u.
* symmetry: No. 123

```
TcRuNF2
1.0
4.176 0.000 0.000
0.000 4.176 0.000
0.000 0.000 3.825
F Tc N Ru
2 1 1 1
Direct
0.000 0.500 0.000 F
0.500 0.000 0.000 F
0.000 0.000 0.000 Tc
0.000 0.000 0.500 N
0.500 0.500 0.500 Ru
```



# 7
Computed, not measured: crystalline LaSnOF2 at its relaxed geometry at the PBE level of DFT.

## Properties
* energy above the lowest structure with this stoichiometry: 0.0 meV/atom
* magnetization: 0.00 Bohr magnetons per cell
* formation energy (no corrections): -2.44 eV per atom
* DOS(E_F): 2.79 states/eV/f.u.
* symmetry: No. 123

```
LaSnOF2
1.0
4.739 0.000 0.000
0.000 4.739 0.000
0.000 0.000 4.634
F Sn La O
2 1 1 1
Direct
0.000 0.500 0.000 F
0.500 0.000 0.000 F
0.500 0.500 0.500 Sn
0.000 0.000 0.000 La
0.000 0.000 0.500 O
```



# 8
Computed, not measured: crystalline Ho8ZnGa2 at its relaxed geometry at the PBE level of DFT.

## Properties
* total DFT energy (no corrections): -4.246 eV/atom
* magnetization: 0.00 Bohr magnetons per cell
* DOS(E_F): 11.44 states/eV/f.u.
* symmetry: No. 12

```
Ho8ZnGa2
1.0
-4.186 1.258 2.420
-2.674 -5.914 -1.551
6.137 -2.318 6.661
Ho Ga Zn
8 2 1
Direct
0.659 0.968 0.318 Ho
0.797 0.691 0.593 Ho
0.341 0.032 0.682 Ho
0.408 0.540 0.816 Ho
0.203 0.309 0.407 Ho
0.592 0.460 0.184 Ho
0.025 0.770 0.049 Ho
0.975 0.230 0.951 Ho
0.810 0.255 0.620 Ga
0.190 0.745 0.380 Ga
0.500 0.000 0.000 Zn
```



> The highest magnetization belongs to which entry?

TcRuNF2